The following is a PBE calculation of a relaxed structure of HgMoRu3, from Alexandria via LeMat-Bulk.

Cell: 4.6730 4.6730 4.6730 Å, 90.00 90.00 90.00°
Last column: nearest neighbours and their distance in Å.
Space group Pm-3m (No. 221)
Asymmetric unit:
Hg  0.0000  0.0000  0.0000 x1  12 Ru 3.30
Mo  0.5000  0.5000  0.5000 x1  6 Ru 2.34
Ru  0.0000  0.5000  0.5000 x3  2 Mo 2.34

* spin magnetization: 1.406 μB/f.u.
* E above lowest polymorph: 0 meV per atom
* DFT formation energy: 1.50 eV/atom
* uncorrected energy: -31.45 eV per cell